Computed, not measured: crystalline La8As3IrI4 at its relaxed geometry at the PBE level of DFT.

Cell lengths 9.2600, 9.2600, 9.2600 Å; angles 56.95, 56.95, 56.95 degrees
Sites, in units of the cell vectors:
La1 0.2349 0.2349 0.2349
La2 0.2472 0.7255 0.7255
La3 0.2745 0.2745 0.7528
La4 0.2745 0.7528 0.2745
La5 0.7255 0.2472 0.7255
La6 0.7255 0.7255 0.2472
La7 0.7528 0.2745 0.2745
La8 0.7651 0.7651 0.7651
As1 0.0000 0.0000 0.5000
As2 0.0000 0.5000 0.0000
As3 0.5000 0.0000 0.0000
Ir1 0.5000 0.5000 0.5000
I1 0.0000 0.0000 0.0000
I2 0.0000 0.5000 0.5000
I3 0.5000 0.0000 0.5000
I4 0.5000 0.5000 0.0000

Formation energy without anion corrections ... -1303 meV per atom
VASP energy ... -5.5797 eV per atom
SG ... R-3m (166)